This record from the Alexandria database describes an optimized crystal structure of Ga2Ni2Ag. The functional is GGA-PBE.

* energy of formation from the pure elements: -0.24 eV per atom
* N(E_F): 2.84 states/eV/cell
* distance to the lowest polymorph of the same formula: 0 meV per atom

CIF file:
```
data_Ga2Ni2Ag
_chemical_formula_sum 'Ga4 Ni4 Ag2'
_space_group_name_H-M_alt 'P 4/m b m'
_space_group_IT_number 127
_space_group_name_Hall '-P 4 2ab'
_cell_length_a 7.0677
_cell_length_b 7.0677
_cell_length_c 2.7645
_cell_angle_alpha 90.00
_cell_angle_beta 90.00
_cell_angle_gamma 90.00
loop_
_atom_site_label
_atom_site_fract_x
_atom_site_fract_y
_atom_site_fract_z
_atom_site_occupancy
Ga1 0.1635 0.3365 0.0000 1
Ni1 0.1320 0.6320 0.5000 1
Ag1 0.0000 0.0000 0.5000 1
```

***

This record from the Alexandria database describes an optimized crystal structure of Ga2Ni2Ag. The functional is GGA-PBE.

* energy of formation from the pure elements: -0.24 eV per atom
* N(E_F): 5.22 states/eV/cell
* distance to the lowest polymorph of the same formula: 0 meV per atom

CIF file:
```
data_Ga2Ni2Ag
_chemical_formula_sum 'Ga4 Ni4 Ag2'
_space_group_name_H-M_alt 'P 4/m b m'
_space_group_IT_number 127
_space_group_name_Hall '-P 4 2ab'
_cell_length_a 7.0656
_cell_length_b 7.0656
_cell_length_c 2.7719
_cell_angle_alpha 90.00
_cell_angle_beta 90.00
_cell_angle_gamma 90.00
loop_
_atom_site_label
_atom_site_fract_x
_atom_site_fract_y
_atom_site_fract_z
_atom_site_occupancy
Ga1 0.1476 0.3524 0.0000 1
Ni1 0.1463 0.6463 0.5000 1
Ag1 0.0000 0.0000 0.0000 1
```

***

This record from the Alexandria database describes an optimized crystal structure of Ga2Ni2Ag. The functional is GGA-PBE.

* energy of formation from the pure elements: -0.05 eV per atom
* N(E_F): 3.83 states/eV/cell
* distance to the lowest polymorph of the same formula: 195 meV per atom

CIF file:
```
data_Ga2Ni2Ag
_chemical_formula_sum 'Ga4 Ni4 Ag2'
_space_group_name_H-M_alt 'I 4/m m m'
_space_group_IT_number 139
_space_group_name_Hall '-I 4 2'
_cell_length_a 3.7194
_cell_length_b 3.7194
_cell_length_c 10.9954
_cell_angle_alpha 90.00
_cell_angle_beta 90.00
_cell_angle_gamma 90.00
loop_
_atom_site_label
_atom_site_fract_x
_atom_site_fract_y
_atom_site_fract_z
_atom_site_occupancy
Ga1 0.0000 0.0000 0.1143 1
Ni1 0.0000 0.5000 0.2500 1
Ag1 0.0000 0.0000 0.5000 1
```

***

This record from the Alexandria database describes an optimized crystal structure of GaNi2Ag2. The functional is GGA-PBE.

* energy of formation from the pure elements: 0.01 eV per atom
* N(E_F): 3.58 states/eV/cell

CIF file:
```
data_GaNi2Ag2
_chemical_formula_sum 'Ga2 Ni4 Ag4'
_space_group_name_H-M_alt 'P 4/m b m'
_space_group_IT_number 127
_space_group_name_Hall '-P 4 2ab'
_cell_length_a 5.9928
_cell_length_b 5.9928
_cell_length_c 4.2231
_cell_angle_alpha 90.00
_cell_angle_beta 90.00
_cell_angle_gamma 90.00
loop_
_atom_site_label
_atom_site_fract_x
_atom_site_fract_y
_atom_site_fract_z
_atom_site_occupancy
Ga1 0.0000 0.0000 0.0000 1
Ni1 0.1354 0.3646 0.0000 1
Ag1 0.1690 0.6690 0.5000 1
```

***

This record from the Alexandria database describes an optimized crystal structure of Ga3NiAg. The functional is GGA-PBE.

* energy of formation from the pure elements: 0.79 eV per atom
* N(E_F): 3.16 states/eV/cell
* distance to the lowest polymorph of the same formula: 778 meV per atom

CIF file:
```
data_Ga3NiAg
_chemical_formula_sum 'Ga3 Ni1 Ag1'
_space_group_name_H-M_alt 'P m -3 m'
_space_group_IT_number 221
_space_group_name_Hall '-P 4 2 3'
_cell_length_a 4.8927
_cell_length_b 4.8927
_cell_length_c 4.8927
_cell_angle_alpha 90.00
_cell_angle_beta 90.00
_cell_angle_gamma 90.00
loop_
_atom_site_label
_atom_site_fract_x
_atom_site_fract_y
_atom_site_fract_z
_atom_site_occupancy
Ga1 0.0000 0.0000 0.5000 1
Ni1 0.5000 0.5000 0.5000 1
Ag1 0.0000 0.0000 0.0000 1
```

***

This record from the Alexandria database describes an optimized crystal structure of Ga2NiAg. The functional is GGA-PBE.

* energy of formation from the pure elements: -0.10 eV per atom
* N(E_F): 5.00 states/eV/cell
* distance to the lowest polymorph of the same formula: 42 meV per atom

CIF file:
```
data_Ga2NiAg
_chemical_formula_sum 'Ga6 Ni3 Ag3'
_space_group_name_H-M_alt 'R -3 m'
_space_group_IT_number 166
_space_group_name_Hall '-R 3 2"'
_cell_length_a 2.9020
_cell_length_b 2.9020
_cell_length_c 25.2423
_cell_angle_alpha 90.00
_cell_angle_beta 90.00
_cell_angle_gamma 120.00
loop_
_atom_site_label
_atom_site_fract_x
_atom_site_fract_y
_atom_site_fract_z
_atom_site_occupancy
Ga1 0.0000 0.0000 0.2399 1
Ni1 0.0000 0.0000 0.5000 1
Ag1 0.0000 0.0000 0.0000 1
```